# 1
# ZrRh2Se, relaxed, DFT PBE
data_ZrRh2Se
_symmetry_space_group_name_H-M 'P 1 m 1'
_symmetry_Int_Tables_number 6
_cell_length_a 3.3305
_cell_length_b 3.8358
_cell_length_c 5.6206
_cell_angle_alpha 90.00
_cell_angle_beta 107.18
_cell_angle_gamma 90.00
loop_
_symmetry_equiv_pos_as_xyz
'x,y,z'
'x,-y,z'
loop_
_atom_site_label
_atom_site_type_symbol
_atom_site_fract_x
_atom_site_fract_y
_atom_site_fract_z
_atom_site_occupancy
Zr1 Zr 0.0000 0.0000 0.0000 1
Rh1 Rh 0.2503 0.0000 0.4961 1
Rh2 Rh 0.6338 0.5000 0.2641 1
Se1 Se 0.3888 0.5000 0.7773 1
# Calculated total energy (eV/atom): -7.176
# Uncorrected formation energy (eV per atom): -0.492


# 2
# Tm2Zn2SbRh5, relaxed, DFT PBE
data_Tm2Zn2SbRh5
_symmetry_space_group_name_H-M 'P 4/m b m'
_symmetry_Int_Tables_number 127
_symmetry_space_group_name_Hall '-P 4 2ab'
_cell_length_a 9.6523
_cell_length_b 9.6523
_cell_length_c 3.6341
_cell_angle_alpha 90.00
_cell_angle_beta 90.00
_cell_angle_gamma 90.00
loop_
_atom_site_label
_atom_site_type_symbol
_atom_site_fract_x
_atom_site_fract_y
_atom_site_fract_z
_atom_site_occupancy
Tm1 Tm 0.1728 0.3272 0.0000 1
Zn1 Zn 0.1246 0.6246 0.0000 1
Sb1 Sb 0.0000 0.0000 0.0000 1
Rh1 Rh 0.0000 0.5000 0.5000 1
Rh2 Rh 0.0681 0.7955 0.5000 1
# Calculated total energy (eV/atom): -5.930
# Uncorrected formation energy (eV per atom): -0.693


# 3
# In3Hg7Bi2, relaxed, DFT PBE
data_In3Hg7Bi2
_symmetry_space_group_name_H-M 'P 1 2/m 1'
_symmetry_Int_Tables_number 10
_cell_length_a 5.7427
_cell_length_b 3.4859
_cell_length_c 17.0808
_cell_angle_alpha 90.00
_cell_angle_beta 94.60
_cell_angle_gamma 90.00
loop_
_symmetry_equiv_pos_as_xyz
'x,y,z'
'-x,-y,-z'
'-x,y,-z'
'x,-y,z'
loop_
_atom_site_label
_atom_site_type_symbol
_atom_site_fract_x
_atom_site_fract_y
_atom_site_fract_z
_atom_site_occupancy
In1 In 0.0000 0.0000 0.0000 1
In2 In 0.3471 0.5000 0.6557 1
Hg1 Hg 0.0904 0.5000 0.1528 1
Hg2 Hg 0.2498 0.0000 0.4990 1
Hg3 Hg 0.4020 0.0000 0.8265 1
Hg4 Hg 0.5000 0.5000 0.0000 1
Bi1 Bi 0.1450 0.0000 0.3163 1
# E_form (meV/atom): 35.4
# Calculated total energy (eV/atom): -1.472